## w
Ba2Sr2Mg: relaxed, PBE.

```
Ba2Sr2Mg
1.0
9.176 0.000 0.000
0.000 9.176 0.000
0.000 0.000 6.518
Ba Sr Mg
4 4 2
direct
0.148 0.352 0.000 Ba
0.352 0.852 0.000 Ba
0.648 0.148 0.000 Ba
0.852 0.648 0.000 Ba
0.168 0.668 0.500 Sr
0.332 0.168 0.500 Sr
0.668 0.832 0.500 Sr
0.832 0.332 0.500 Sr
0.000 0.000 0.000 Mg
0.500 0.500 0.000 Mg
```

* SG: No. 127


## x
Ba2Sr2Mg: relaxed, PBE.

```
Ba2Sr2Mg
1.0
-3.049 3.049 14.866
3.049 -3.049 14.866
3.049 3.049 -14.866
Ba Sr Mg
4 4 2
direct
0.057 0.307 0.750 Ba
0.307 0.057 0.250 Ba
0.693 0.943 0.750 Ba
0.943 0.693 0.250 Ba
0.198 0.448 0.750 Sr
0.448 0.198 0.250 Sr
0.552 0.802 0.750 Sr
0.802 0.552 0.250 Sr
0.375 0.625 0.750 Mg
0.625 0.375 0.250 Mg
```

* SG: No. 141


## y
Ba2Sr2Mg: relaxed, PBE.

```
Ba2Sr2Mg
1.0
-2.186 2.186 13.522
2.186 -2.186 13.522
2.186 2.186 -13.522
Ba Sr Mg
2 2 1
direct
0.079 0.079 0.000 Ba
0.921 0.921 0.000 Ba
0.304 0.304 0.000 Sr
0.696 0.696 0.000 Sr
0.500 0.500 0.000 Mg
```

* SG: No. 139


## z
Ba2Sr2Mg: relaxed, PBE.

```
Ba2Sr2Mg
1.0
9.072 0.000 0.000
0.000 9.072 0.000
0.000 0.000 6.622
Ba Sr Mg
4 4 2
direct
0.172 0.328 0.000 Ba
0.328 0.828 0.000 Ba
0.672 0.172 0.000 Ba
0.828 0.672 0.000 Ba
0.151 0.651 0.500 Sr
0.349 0.151 0.500 Sr
0.651 0.849 0.500 Sr
0.849 0.349 0.500 Sr
0.000 0.000 0.500 Mg
0.500 0.500 0.500 Mg
```

* SG: No. 127


Order from most stable to least stable according to the calculation: y, x, z, w


## w
Ba8Sr2Mg: relaxed, PBE.

```
Ba8Sr2Mg
1.0
11.232 -3.386 0.000
11.232 3.386 0.000
-0.511 0.000 8.343
Ba Sr Mg
8 2 1
direct
0.035 0.035 0.260 Ba
0.224 0.224 0.145 Ba
0.335 0.335 0.591 Ba
0.413 0.413 0.087 Ba
0.587 0.587 0.913 Ba
0.665 0.665 0.409 Ba
0.776 0.776 0.855 Ba
0.965 0.965 0.740 Ba
0.151 0.151 0.677 Sr
0.849 0.849 0.323 Sr
0.500 0.500 0.500 Mg
```

* SG: No. 12


## x
Ba8Sr2Mg: relaxed, PBE.

```
Ba8Sr2Mg
1.0
11.239 -3.352 0.000
11.239 3.352 0.000
-0.552 0.000 8.358
Ba Sr Mg
8 2 1
direct
0.036 0.036 0.258 Ba
0.149 0.149 0.682 Ba
0.334 0.334 0.593 Ba
0.413 0.413 0.085 Ba
0.587 0.587 0.915 Ba
0.666 0.666 0.407 Ba
0.851 0.851 0.318 Ba
0.964 0.964 0.742 Ba
0.225 0.225 0.146 Sr
0.775 0.775 0.854 Sr
0.500 0.500 0.500 Mg
```

* SG: No. 12


Order from most stable to least stable according to the calculation: w, x


## w
Ba2SrMg2: relaxed, PBE.

```
Ba2SrMg2
1.0
10.374 0.000 0.000
0.000 10.374 0.000
0.000 0.000 4.025
Ba Sr Mg
4 2 4
direct
0.133 0.367 0.000 Ba
0.367 0.867 0.000 Ba
0.633 0.133 0.000 Ba
0.867 0.633 0.000 Ba
0.000 0.000 0.000 Sr
0.500 0.500 0.000 Sr
0.163 0.663 0.500 Mg
0.337 0.163 0.500 Mg
0.663 0.837 0.500 Mg
0.837 0.337 0.500 Mg
```

* SG: No. 127


## x
Ba2SrMg2: relaxed, PBE.

```
Ba2SrMg2
1.0
-2.181 2.181 12.725
2.181 -2.181 12.725
2.181 2.181 -12.725
Ba Sr Mg
2 1 2
direct
0.128 0.128 0.000 Ba
0.872 0.872 0.000 Ba
0.500 0.500 0.000 Sr
0.250 0.750 0.500 Mg
0.750 0.250 0.500 Mg
```

* SG: No. 139


Order from most stable to least stable according to the calculation: w, x


## w
Ba2SrMg2: relaxed, PBE.

```
Ba2SrMg2
1.0
2.168 -12.430 0.000
2.168 12.430 0.000
0.000 0.000 4.162
Ba Sr Mg
2 1 2
direct
0.171 0.829 0.000 Ba
0.829 0.171 0.000 Ba
0.000 0.000 0.000 Sr
0.419 0.581 0.500 Mg
0.581 0.419 0.500 Mg
```

* SG: No. 65


## x
Ba2SrMg2: relaxed, PBE.

```
Ba2SrMg2
1.0
7.048 0.000 0.000
0.000 4.978 0.000
-1.452 0.000 14.022
Ba Sr Mg
4 2 4
direct
0.091 0.250 0.374 Ba
0.258 0.250 0.052 Ba
0.742 0.750 0.948 Ba
0.909 0.750 0.626 Ba
0.429 0.250 0.713 Sr
0.571 0.750 0.287 Sr
0.222 0.750 0.855 Mg
0.390 0.750 0.527 Mg
0.610 0.250 0.473 Mg
0.778 0.250 0.145 Mg
```

* SG: No. 11


## y
Ba2SrMg2: relaxed, PBE.

```
Ba2SrMg2
1.0
9.831 0.000 0.000
0.000 9.831 0.000
0.000 0.000 4.818
Ba Sr Mg
4 2 4
direct
0.165 0.335 0.000 Ba
0.335 0.835 0.000 Ba
0.665 0.165 0.000 Ba
0.835 0.665 0.000 Ba
0.000 0.000 0.500 Sr
0.500 0.500 0.500 Sr
0.124 0.624 0.500 Mg
0.376 0.124 0.500 Mg
0.624 0.876 0.500 Mg
0.876 0.376 0.500 Mg
```

* SG: No. 127


Order from most stable to least stable according to the calculation: w, y, x